This record from the Alexandria database describes a relaxed LiTaSb crystal. The functional is PBE.

Properties
**Raw formation energy**: 0.60 eV per formula unit
**D(E_F)**: 1.6 states/eV per cell
**Energy relative to the lowest polymorph listed for this composition**: 504 meV per atom

Unit cell a=7.4379 b=7.2345 c=3.0297 alpha=81.87 beta=74.34 gamma=23.78
Sites, in units of the cell vectors:
Li: 0.9974 0.9974 0.0026
Sb: 0.6719 0.6719 0.3281
Ta: 0.3306 0.3306 0.6694